# Li6In3Ga

A geometry-optimized Li6In3Ga structure (PBE, Alexandria via LeMat-Bulk).

Computed properties:
**Electronic total energy**: -25.41 eV per formula unit

Unit cell a=8.1359 b=4.6546 c=9.9252 alpha=90.00 beta=105.51 gamma=90.00
Space group P2_1/m (No. 11)
One atom of each set of equivalent atoms:
1 Li 0.0446 0.2500 0.3815 [2 per cell]
2 Li 0.1379 0.7500 0.1913 [2 per cell]
3 Li 0.1473 0.2500 0.6879 [2 per cell]
4 Li 0.2342 0.2500 0.9945 [2 per cell]
5 Li 0.3358 0.7500 0.7987 [2 per cell]
6 Li 0.4497 0.2500 0.5988 [2 per cell]
7 In 0.2403 0.7500 0.4985 [2 per cell]
8 In 0.3530 0.2500 0.3017 [2 per cell]
9 In 0.4501 0.7500 0.0979 [2 per cell]
10 Ga 0.0515 0.7500 0.9092 [2 per cell]

# Na4LiCe3Se8

A geometry-optimized Na4LiCe3Se8 structure (PBE, Alexandria via LeMat-Bulk).

Computed properties:
**Energy relative to the elements, uncorrected**: -1.4927 eV/atom

Unit cell a=8.4405 b=8.4405 c=20.6531 alpha=90.00 beta=90.00 gamma=120.00
Space group R-3m (No. 166, hexagonal axes)
One atom of each set of equivalent atoms:
1 Na 0.0000 0.0000 0.0000 [3 per cell]
2 Na 0.0000 0.5000 0.0000 [9 per cell]
3 Li 0.0000 0.0000 0.5000 [3 per cell]
4 Ce 0.0000 0.5000 0.5000 [9 per cell]
5 Se 0.0000 0.0000 0.2457 [6 per cell]
6 Se 0.0040 0.5020 0.7579 [18 per cell]

# ZnHg2TeO6

A geometry-optimized ZnHg2TeO6 structure (PBE, Alexandria via LeMat-Bulk).

Computed properties:
**Energy relative to the elements, uncorrected**: -0.7557 eV/atom

Unit cell a=5.6015 b=5.6015 c=13.9600 alpha=90.00 beta=90.00 gamma=120.00
Space group R-3 (No. 148, hexagonal axes)
One atom of each set of equivalent atoms:
1 Zn 0.0000 0.0000 0.0000 [3 per cell]
2 Hg 0.0000 0.0000 0.2503 [6 per cell]
3 Te 0.0000 0.0000 0.5000 [3 per cell]
4 O 0.0191 0.4118 0.2478 [18 per cell]

# Ge2Te3Pb

A geometry-optimized Ge2Te3Pb structure (PBE, Alexandria via LeMat-Bulk).

Computed properties:
**Energy relative to the elements, uncorrected**: -0.1051 eV/atom
**Energy above the lowest structure with this stoichiometry**: 0.0000 eV/atom

Unit cell a=7.5204 b=4.2922 c=11.9404 alpha=90.00 beta=103.46 gamma=90.00
Space group P2_1/m (No. 11)
One atom of each set of equivalent atoms:
1 Ge 0.0178 0.2500 0.3567 [2 per cell]
2 Ge 0.2456 0.2500 0.0256 [2 per cell]
3 Te 0.1210 0.7500 0.1496 [2 per cell]
4 Te 0.2240 0.7500 0.4915 [2 per cell]
5 Te 0.3547 0.7500 0.8544 [2 per cell]
6 Pb 0.4732 0.2500 0.7013 [2 per cell]

# Bi2TeC

A geometry-optimized Bi2TeC structure (PBE, Alexandria via LeMat-Bulk).

Computed properties:
**Energy relative to the elements, uncorrected**: 1.4423 eV/atom
**Energy above the lowest structure with this stoichiometry**: 0.5915 eV/atom

Unit cell a=7.3404 b=7.3404 c=7.3404 alpha=90.00 beta=90.00 gamma=90.00
Space group Fm-3m (No. 225)
One atom of each set of equivalent atoms:
1 Bi 0.2500 0.2500 0.2500 [8 per cell]
2 Te 0.0000 0.0000 0.0000 [4 per cell]
3 C 0.0000 0.0000 0.5000 [4 per cell]

# Ho2In8Pt

A geometry-optimized Ho2In8Pt structure (PBE, Alexandria via LeMat-Bulk).

Computed properties:
**Electronic total energy**: -41.56 eV per formula unit

Unit cell a=4.6830 b=4.6830 c=12.0895 alpha=90.00 beta=90.00 gamma=90.00
Space group P4/mmm (No. 123)
One atom of each set of equivalent atoms:
1 Ho 0.0000 0.0000 0.1899 [2 per cell]
2 In 0.0000 0.5000 0.0000 [2 per cell]
3 In 0.0000 0.5000 0.3728 [4 per cell]
4 In 0.5000 0.5000 0.1910 [2 per cell]
5 Pt 0.0000 0.0000 0.5000 [1 per cell]

# Ac2YAl

A geometry-optimized Ac2YAl structure (PBE, Alexandria via LeMat-Bulk).

Computed properties:
**Energy above the lowest structure with this stoichiometry**: 0.0226 eV/atom

Unit cell a=5.1519 b=5.1519 c=5.0653 alpha=90.00 beta=90.00 gamma=90.00
Space group P4/mmm (No. 123)
One atom of each set of equivalent atoms:
1 Ac 0.0000 0.5000 0.0000 [2 per cell]
2 Y 0.0000 0.0000 0.5000 [1 per cell]
3 Al 0.5000 0.5000 0.5000 [1 per cell]

# ScPtPb2

A geometry-optimized ScPtPb2 structure (PBE, Alexandria via LeMat-Bulk).

Computed properties:
**Energy above the lowest structure with this stoichiometry**: 0.1478 eV/atom

Unit cell a=3.5562 b=4.9844 c=10.8602 alpha=90.00 beta=90.00 gamma=90.00
Space group Imm2 (No. 44)
One atom of each set of equivalent atoms:
1 Sc 0.0000 0.0000 0.0000 [2 per cell]
2 Pt 0.0000 0.5000 0.3195 [2 per cell]
3 Pb 0.0000 0.0000 0.5737 [2 per cell]
4 Pb 0.0000 0.5000 0.7893 [2 per cell]

# Nd3AlNi2

A geometry-optimized Nd3AlNi2 structure (PBE, Alexandria via LeMat-Bulk).

Computed properties:
**Electronic total energy**: -30.82 eV per formula unit

Unit cell a=14.7564 b=4.4670 c=10.0944 alpha=90.00 beta=114.92 gamma=90.00
Space group C2/m (No. 12)
One atom of each set of equivalent atoms:
1 Nd 0.0551 0.0000 0.2125 [4 per cell]
2 Nd 0.1537 0.5000 0.9972 [4 per cell]
3 Nd 0.1907 0.0000 0.5875 [4 per cell]
4 Al 0.0662 0.5000 0.6534 [4 per cell]
5 Ni 0.1095 0.5000 0.4084 [4 per cell]
6 Ni 0.1353 0.0000 0.8079 [4 per cell]

# Ba2BO3

A geometry-optimized Ba2BO3 structure (PBE, Alexandria via LeMat-Bulk).

Computed properties:
**Energy relative to the elements, uncorrected**: -2.4433 eV/atom

Unit cell a=7.5965 b=11.6053 c=11.7847 alpha=90.00 beta=90.00 gamma=90.00
Space group Fmmm (No. 69)
One atom of each set of equivalent atoms:
1 Ba 0.2384 0.0000 0.0000 [8 per cell]
2 Ba 0.2500 0.2500 0.2500 [8 per cell]
3 B 0.0000 0.0000 0.2329 [8 per cell]
4 O 0.0000 0.0000 0.3504 [8 per cell]
5 O 0.0000 0.1028 0.1705 [16 per cell]

# Zr3HgN

A geometry-optimized Zr3HgN structure (PBE, Alexandria via LeMat-Bulk).

Computed properties:
**Energy relative to the elements, uncorrected**: -0.4686 eV/atom

Unit cell a=3.5982 b=3.5982 c=18.6509 alpha=90.00 beta=90.00 gamma=120.00
Space group P6_3/mmc (No. 194)
One atom of each set of equivalent atoms:
1 Zr 0.0000 0.0000 0.2500 [2 per cell]
2 Zr 0.3333 0.6667 0.1206 [4 per cell]
3 Hg 0.0000 0.0000 0.0000 [2 per cell]
4 N 0.3333 0.6667 0.2500 [2 per cell]

# TbPmScCd

A geometry-optimized TbPmScCd structure (PBE, Alexandria via LeMat-Bulk).

Computed properties:
**Energy above the lowest structure with this stoichiometry**: 0.0000 eV/atom

Unit cell a=3.5488 b=3.5488 c=8.8090 alpha=90.00 beta=90.00 gamma=90.00
Space group P4mm (No. 99)
One atom of each set of equivalent atoms:
1 Tb 0.0000 0.0000 0.0000 [1 per cell]
2 Pm 0.5000 0.5000 0.2930 [1 per cell]
3 Sc 0.0000 0.0000 0.5599 [1 per cell]
4 Cd 0.5000 0.5000 0.7575 [1 per cell]

# NaZnH3

A geometry-optimized NaZnH3 structure (PBE, Alexandria via LeMat-Bulk).

Computed properties:
**Energy above the lowest structure with this stoichiometry**: 0.0228 eV/atom

Unit cell a=3.0559 b=5.8961 c=6.6923 alpha=90.00 beta=103.15 gamma=90.00
Space group P2_1/m (No. 11)
One atom of each set of equivalent atoms:
1 Na 0.1692 0.2500 0.3345 [2 per cell]
2 Zn 0.4095 0.2500 0.8243 [2 per cell]
3 H 0.0217 0.7500 0.0384 [2 per cell]
4 H 0.3402 0.0205 0.6841 [4 per cell]

# Nb2AlAu2

A geometry-optimized Nb2AlAu2 structure (PBE, Alexandria via LeMat-Bulk).

Computed properties:
**Energy above the lowest structure with this stoichiometry**: 0.4646 eV/atom

Unit cell a=7.9642 b=7.9642 c=3.0617 alpha=90.00 beta=90.00 gamma=90.00
Space group P4/mbm (No. 127)
One atom of each set of equivalent atoms:
1 Nb 0.1209 0.3791 0.0000 [4 per cell]
2 Al 0.0000 0.0000 0.0000 [2 per cell]
3 Au 0.1723 0.6723 0.5000 [4 per cell]

# Sm2RhAu6

A geometry-optimized Sm2RhAu6 structure (PBE, Alexandria via LeMat-Bulk).

Computed properties:
**Electronic total energy**: -41.24 eV per formula unit

Unit cell a=13.6132 b=4.0121 c=7.1737 alpha=90.00 beta=112.55 gamma=90.00
Space group C2/m (No. 12)
One atom of each set of equivalent atoms:
1 Sm 0.0586 0.0000 0.3066 [4 per cell]
2 Rh 0.0000 0.5000 0.0000 [2 per cell]
3 Au 0.1069 0.5000 0.6742 [4 per cell]
4 Au 0.1685 0.0000 0.0065 [4 per cell]
5 Au 0.2306 0.5000 0.3274 [4 per cell]

# Li2ScAl2

A geometry-optimized Li2ScAl2 structure (PBE, Alexandria via LeMat-Bulk).

Computed properties:
**Energy above the lowest structure with this stoichiometry**: 0.1079 eV/atom

Unit cell a=7.7408 b=7.7408 c=2.9919 alpha=90.00 beta=90.00 gamma=90.00
Space group P4/mbm (No. 127)
One atom of each set of equivalent atoms:
1 Li 0.1729 0.3271 0.0000 [4 per cell]
2 Sc 0.0000 0.0000 0.5000 [2 per cell]
3 Al 0.1244 0.6244 0.5000 [4 per cell]

# MoC2

A geometry-optimized MoC2 structure (PBE, Alexandria via LeMat-Bulk).

Computed properties:
**Energy above the lowest structure with this stoichiometry**: 0.7893 eV/atom

Unit cell a=5.0462 b=5.0462 c=5.0462 alpha=90.00 beta=90.00 gamma=90.00
Space group Pa-3 (No. 205)
One atom of each set of equivalent atoms:
1 Mo 0.0000 0.0000 0.0000 [4 per cell]
2 C 0.0788 0.5788 0.9212 [8 per cell]

# Na3SiSe3

A geometry-optimized Na3SiSe3 structure (PBE, Alexandria via LeMat-Bulk).

Computed properties:
**Energy relative to the elements, uncorrected**: -0.8525 eV/atom

Unit cell a=11.6829 b=4.5457 c=13.0450 alpha=90.00 beta=90.00 gamma=90.00
Space group Pnma (No. 62)
One atom of each set of equivalent atoms:
1 Na 0.0581 0.2500 0.1043 [4 per cell]
2 Na 0.1508 0.7500 0.4851 [4 per cell]
3 Na 0.2361 0.7500 0.7823 [4 per cell]
4 Si 0.0631 0.2500 0.6967 [4 per cell]
5 Se 0.0176 0.2500 0.3380 [4 per cell]
6 Se 0.1080 0.2500 0.8736 [4 per cell]
7 Se 0.2417 0.2500 0.6158 [4 per cell]

# PmHo4Al2

A geometry-optimized PmHo4Al2 structure (PBE, Alexandria via LeMat-Bulk).

Computed properties:
**Energy above the lowest structure with this stoichiometry**: 0.1410 eV/atom

Unit cell a=5.0091 b=5.0091 c=30.3655 alpha=90.00 beta=90.00 gamma=120.00
Space group R-3m (No. 166, hexagonal axes)
One atom of each set of equivalent atoms:
1 Pm 0.0000 0.0000 0.0000 [3 per cell]
2 Ho 0.0000 0.0000 0.2022 [6 per cell]
3 Ho 0.0000 0.0000 0.3986 [6 per cell]
4 Al 0.0000 0.0000 0.1007 [6 per cell]

# Sc2Hg2Au

A geometry-optimized Sc2Hg2Au structure (PBE, Alexandria via LeMat-Bulk).

Computed properties:
**Energy above the lowest structure with this stoichiometry**: 0.0760 eV/atom

Unit cell a=7.5512 b=7.5512 c=3.7998 alpha=90.00 beta=90.00 gamma=90.00
Space group P4/mbm (No. 127)
One atom of each set of equivalent atoms:
1 Sc 0.1667 0.3333 0.0000 [4 per cell]
2 Hg 0.1357 0.6357 0.5000 [4 per cell]
3 Au 0.0000 0.0000 0.5000 [2 per cell]

# K2ZrTaSe

A geometry-optimized K2ZrTaSe structure (PBE, Alexandria via LeMat-Bulk).

Computed properties:
**Energy relative to the elements, uncorrected**: 1.0290 eV/atom

Unit cell a=5.8748 b=5.8748 c=5.2196 alpha=90.00 beta=90.00 gamma=90.00
Space group P4/mmm (No. 123)
One atom of each set of equivalent atoms:
1 K 0.0000 0.5000 0.0000 [2 per cell]
2 Zr 0.0000 0.0000 0.5000 [1 per cell]
3 Ta 0.5000 0.5000 0.5000 [1 per cell]
4 Se 0.0000 0.0000 0.0000 [1 per cell]

# CaCdAu3

A geometry-optimized CaCdAu3 structure (PBE, Alexandria via LeMat-Bulk).

Computed properties:
**Energy above the lowest structure with this stoichiometry**: 0.0758 eV/atom

Unit cell a=4.1502 b=4.1502 c=13.3435 alpha=90.00 beta=90.00 gamma=90.00
Space group I4mm (No. 107)
One atom of each set of equivalent atoms:
1 Ca 0.0000 0.0000 0.0000 [2 per cell]
2 Cd 0.0000 0.0000 0.6488 [2 per cell]
3 Au 0.0000 0.0000 0.4454 [2 per cell]
4 Au 0.0000 0.5000 0.2962 [4 per cell]